(1)
Below is a relaxed structure of TaP2Pt, with properties calculated at the GGA-PBEsol level.

Calculated values
ΔH_f (0 K) ... -0.410 eV per atom

abc: 3.200 3.196 6.125
angles: 90.00 103.67 90.00
Space group P2/m (No. 10)
Asymmetric unit:
Ta: 0.000 0.000 0.000 x1
P: 0.419 0.500 0.778 x2
Pt: 0.500 0.000 0.500 x1

=====

(2)
Below is a relaxed structure of Ta3PdI, with properties calculated at the GGA-PBEsol level.

Calculated values
Uncorrected energy ... -37.768 eV per formula unit

abc: 4.853 4.853 4.853
angles: 90.00 90.00 90.00
Space group Pm-3m (No. 221)
Asymmetric unit:
Ta: 0.000 0.000 0.500 x3
Pd: 0.000 0.000 0.000 x1
I: 0.500 0.500 0.500 x1

=====

(3)
Below is a relaxed structure of RbTePbI2, with properties calculated at the GGA-PBEsol level.

Calculated values
Uncorrected energy ... -14.936 eV per formula unit

abc: 6.226 6.226 5.799
angles: 90.00 90.00 90.00
Space group P4/mmm (No. 123)
Asymmetric unit:
Rb: 0.000 0.000 0.000 x1
Te: 0.500 0.500 0.000 x1
Pb: 0.500 0.500 0.500 x1
I: 0.000 0.500 0.500 x2

=====

(4)
Below is a relaxed structure of ZnSb2TeP, with properties calculated at the GGA-PBEsol level.

Calculated values
Uncorrected energy ... -15.706 eV per formula unit

abc: 5.083 5.083 5.075
angles: 90.00 90.00 90.00
Space group P4/mmm (No. 123)
Asymmetric unit:
Zn: 0.000 0.000 0.000 x1
Sb: 0.000 0.500 0.000 x2
Te: 0.000 0.000 0.500 x1
P: 0.500 0.500 0.500 x1

=====

(5)
Below is a relaxed structure of Li2Nb4O11, with properties calculated at the GGA-PBEsol level.

Calculated values
Uncorrected energy ... -147.041 eV per formula unit

abc: 10.951 6.209 12.807
angles: 90.00 106.64 90.00
Space group C2/c (No. 15)
Asymmetric unit:
Li: 0.106 0.246 0.060 x8
Nb: 0.000 0.115 0.250 x4
Nb: 0.178 0.428 0.749 x8
Nb: 0.250 0.250 0.500 x4
O: 0.000 0.496 0.250 x4
O: 0.076 0.167 0.407 x8
O: 0.118 0.131 0.749 x8
O: 0.157 0.248 0.220 x8
O: 0.169 0.428 0.593 x8
O: 0.249 0.492 0.906 x8

=====

(6)
Below is a relaxed structure of GaP2IrS, with properties calculated at the GGA-PBEsol level.

Calculated values
Uncorrected energy ... -22.598 eV per formula unit

abc: 4.441 4.441 4.482
angles: 90.00 90.00 90.00
Space group P4/mmm (No. 123)
Asymmetric unit:
Ga: 0.000 0.000 0.000 x1
P: 0.000 0.500 0.000 x2
Ir: 0.500 0.500 0.500 x1
S: 0.000 0.000 0.500 x1

=====

(7)
Below is a relaxed structure of CsAsH6C2Se2, with properties calculated at the GGA-PBEsol level.

Calculated values
Uncorrected energy ... -56.039 eV per formula unit

abc: 9.823 9.985 9.557
angles: 90.00 115.35 90.00
Space group C2/c (No. 15)
Asymmetric unit:
Cs: 0.000 0.108 0.250 x4
As: 0.000 0.328 0.750 x4
H: 0.067 0.476 0.435 x8
H: 0.198 0.387 0.015 x8
H: 0.210 0.494 0.866 x8
C: 0.134 0.447 0.910 x8
Se: 0.142 0.208 0.657 x8

=====

(8)
Below is a relaxed structure of In2FeSiC, with properties calculated at the GGA-PBEsol level.

Calculated values
Uncorrected energy ... -21.074 eV per formula unit

abc: 5.025 5.025 4.285
angles: 90.00 90.00 90.00
Space group P4/mmm (No. 123)
Asymmetric unit:
In: 0.000 0.500 0.000 x2
Fe: 0.000 0.000 0.500 x1
Si: 0.000 0.000 0.000 x1
C: 0.500 0.500 0.500 x1

=====

(9)
Below is a relaxed structure of Sb2P3O12, with properties calculated at the GGA-PBEsol level.

Calculated values
Uncorrected energy ... -120.786 eV per formula unit

abc: 8.484 8.784 14.430
angles: 90.00 124.37 90.00
Space group P2_1/c (No. 14)
Asymmetric unit:
Sb: 0.134 0.032 0.383 x4
Sb: 0.363 0.031 0.115 x4
P: 0.040 0.744 0.505 x4
P: 0.250 0.117 0.851 x4
P: 0.472 0.623 0.854 x4
O: 0.004 0.633 0.920 x4
O: 0.041 0.695 0.105 x4
O: 0.075 0.012 0.789 x4
O: 0.116 0.121 0.063 x4
O: 0.207 0.215 0.320 x4
O: 0.235 0.666 0.547 x4
O: 0.325 0.067 0.558 x4
O: 0.343 0.627 0.897 x4
O: 0.351 0.098 0.980 x4
O: 0.375 0.514 0.751 x4
O: 0.394 0.074 0.822 x4
O: 0.486 0.718 0.311 x4

=====

(10)
Below is a relaxed structure of La2CdCuBr, with properties calculated at the GGA-PBEsol level.

Calculated values
Uncorrected energy ... -17.840 eV per formula unit

abc: 5.540 5.540 4.773
angles: 90.00 90.00 90.00
Space group P4/mmm (No. 123)
Asymmetric unit:
La: 0.000 0.500 0.000 x2
Cd: 0.000 0.000 0.500 x1
Cu: 0.500 0.500 0.000 x1
Br: 0.500 0.500 0.500 x1

=====

(11)
Below is a relaxed structure of CsNb3W, with properties calculated at the GGA-PBEsol level.

Calculated values
ΔH_f (0 K) ... 1.702 eV per atom

abc: 5.014 5.014 5.014
angles: 90.00 90.00 90.00
Space group Pm-3m (No. 221)
Asymmetric unit:
Cs: 0.000 0.000 0.000 x1
Nb: 0.000 0.500 0.500 x3
W: 0.500 0.500 0.500 x1

=====

(12)
Below is a relaxed structure of MgTlW2, with properties calculated at the GGA-PBEsol level.

Calculated values
ΔH_f (0 K) ... 0.704 eV per atom

abc: 4.616 4.616 6.489
angles: 90.00 90.00 90.00
Space group I-4m2 (No. 119)
Asymmetric unit:
Mg: 0.000 0.000 0.000 x2
Tl: 0.000 0.500 0.250 x2
W: 0.000 0.000 0.500 x2
W: 0.000 0.500 0.750 x2

=====

Number 1: spin magnetization 0.00 μB/f.u.. Number 2: spin magnetization 0.00 μB/f.u.. Number 3: spin magnetization 0.00 μB/f.u.. Number 4: spin magnetization 0.00 μB/f.u.. Number 5: spin magnetization 0.00 μB/f.u.. Number 6: spin magnetization 0.00 μB/f.u.. Number 7: spin magnetization 0.00 μB/f.u.. Number 8: spin magnetization 3.84 μB/f.u.. Number 9: spin magnetization 0.91 μB/f.u.. Number 10: spin magnetization 0.00 μB/f.u.. Number 11: spin magnetization 0.00 μB/f.u.. Number 12: spin magnetization 0.00 μB/f.u..